Entry 1:
Here is an optimized crystal structure of Sr2ReTe from Alexandria via LeMat-Bulk. Energies are from GGA-PBE.

Output
Uncorrected formation energy in eV per atom: 0.40
Excess energy over the best structure of this formula in the dataset in eV/atom: 0.281
Energy in eV/atom: -4.335

Cell lengths 4.642, 4.642, 11.162 Å; angles 90.00, 90.00, 90.00 degrees
Space group I-4m2 (No. 119)
Symmetry-distinct sites (fractional):
Sr  0.000  0.000  0.000
Sr  0.000  0.500  0.250
Re  0.000  0.000  0.500
Te  0.000  0.500  0.750


Entry 2:
Here is an optimized crystal structure of Rb2AlCdCl6 from Alexandria via LeMat-Bulk. Energies are from GGA-PBE.

Output
Uncorrected formation energy in eV per atom: -1.48
Energy in eV/atom: -3.252

Cell lengths 7.386, 7.386, 10.471 Å; angles 90.00, 90.00, 90.00 degrees
Space group I4/mmm (No. 139)
Symmetry-distinct sites (fractional):
Rb  0.000  0.500  0.250
Al  0.000  0.000  0.000
Cd  0.000  0.000  0.500
Cl  0.000  0.000  0.227
Cl  0.227  0.227  0.000


Entry 3:
Here is an optimized crystal structure of Hf2HIrPt from Alexandria via LeMat-Bulk. Energies are from GGA-PBE.

Output
Excess energy over the best structure of this formula in the dataset in eV/atom: 0.027
Energy in eV/atom: -8.305

Cell lengths 4.315, 4.315, 3.906 Å; angles 90.00, 90.00, 90.00 degrees
Space group P4/mmm (No. 123)
Symmetry-distinct sites (fractional):
Hf  0.000  0.500  0.000
H  0.000  0.000  0.000
Ir  0.500  0.500  0.500
Pt  0.000  0.000  0.500


Entry 4:
Here is an optimized crystal structure of MgSc4Ir2Rh from Alexandria via LeMat-Bulk. Energies are from GGA-PBE.

Output
Formation energy in meV/atom: -835
Energy in eV/atom: -7.334

Cell lengths 4.6397, 4.6397, 22.8063 Å; angles 90.00, 90.00, 120.00 degrees
Space group R-3m (No. 166, hexagonal axes)
Symmetry-distinct sites (fractional):
Mg  0.0000  0.0000  0.0000
Sc  0.0000  0.0000  0.1290
Sc  0.0000  0.0000  0.3797
Ir  0.0000  0.0000  0.2524
Rh  0.0000  0.0000  0.5000


Entry 5:
Here is an optimized crystal structure of Li3CaFe from Alexandria via LeMat-Bulk. Energies are from GGA-PBE.

Output
Formation energy in meV/atom: 513
Energy in eV/atom: -2.728

Cell lengths 4.851, 4.851, 4.851 Å; angles 90.00, 90.00, 90.00 degrees
Space group Pm-3m (No. 221)
Symmetry-distinct sites (fractional):
Li  0.000  0.000  0.500
Ca  0.500  0.500  0.500
Fe  0.000  0.000  0.000


Entry 6:
Here is an optimized crystal structure of LaYHgGe from Alexandria via LeMat-Bulk. Energies are from GGA-PBE.

Output
Formation energy in meV/atom: -587
Energy in eV/atom: -4.665

Cell lengths 7.488, 7.488, 7.488 Å; angles 90.00, 90.00, 90.00 degrees
Space group F-43m (No. 216)
Symmetry-distinct sites (fractional):
La  0.000  0.000  0.000
Y  0.000  0.000  0.500
Hg  0.250  0.250  0.250
Ge  0.250  0.250  0.750